No. 1
{"formula": "HoTl3Sb3Se8", "functional": "PBE", "state": "optimized geometry", "cell": [[4.140, 2.390, 7.603], [-4.140, 2.390, 7.603], [0.000, -4.780, 7.603]], "species": ["Ho", "Tl", "Tl", "Tl", "Sb", "Sb", "Sb", "Se", "Se", "Se", "Se", "Se", "Se", "Se", "Se"], "fractional_positions": [[0.000, 0.000, 0.000], [0.000, 0.000, 0.500], [0.000, 0.500, 0.000], [0.500, 0.000, 0.000], [0.000, 0.500, 0.500], [0.500, 0.000, 0.500], [0.500, 0.500, 0.000], [0.238, 0.238, 0.736], [0.238, 0.736, 0.238], [0.261, 0.261, 0.261], [0.264, 0.762, 0.762], [0.736, 0.238, 0.238], [0.739, 0.739, 0.739], [0.762, 0.264, 0.762], [0.762, 0.762, 0.264]], "vol_a3_per_atom": 30.1, "raw_formation_energy_ev_per_atom": -0.579, "crystal_system": "trigonal", "space_group": "R-3m, No. 166"}



No. 2
{"formula": "Ho2Tl3SbSe6", "functional": "PBE", "state": "optimized geometry", "cell": [[3.631, -6.290, 0.000], [3.631, 6.290, 0.000], [-2.419, 0.000, 7.721]], "species": ["Ho", "Ho", "Tl", "Tl", "Tl", "Sb", "Se", "Se", "Se", "Se", "Se", "Se"], "fractional_positions": [[0.167, 0.833, 0.000], [0.833, 0.167, 0.000], [0.000, 0.000, 0.500], [0.332, 0.668, 0.500], [0.668, 0.332, 0.500], [0.500, 0.500, 0.000], [0.096, 0.432, 0.796], [0.232, 0.232, 0.205], [0.432, 0.096, 0.796], [0.568, 0.904, 0.204], [0.768, 0.768, 0.795], [0.904, 0.568, 0.204]], "vol_a3_per_atom": 29.4, "raw_formation_energy_ev_per_atom": -1.041, "crystal_system": "monoclinic", "space_group": "C2/m, No. 12"}



No. 3
{"formula": "Ho3Tl4SbSe8", "functional": "PBE", "state": "optimized geometry", "cell": [[4.187, 2.418, 7.738], [-4.187, 2.418, 7.738], [0.000, -4.835, 7.738]], "species": ["Ho", "Ho", "Ho", "Tl", "Tl", "Tl", "Tl", "Sb", "Se", "Se", "Se", "Se", "Se", "Se", "Se", "Se"], "fractional_positions": [[0.000, 0.500, 0.500], [0.500, 0.000, 0.500], [0.500, 0.500, 0.000], [0.000, 0.000, 0.500], [0.000, 0.500, 0.000], [0.500, 0.000, 0.000], [0.500, 0.500, 0.500], [0.000, 0.000, 0.000], [0.236, 0.236, 0.732], [0.236, 0.732, 0.236], [0.266, 0.266, 0.266], [0.268, 0.764, 0.764], [0.732, 0.236, 0.236], [0.734, 0.734, 0.734], [0.764, 0.268, 0.764], [0.764, 0.764, 0.268]], "vol_a3_per_atom": 29.4, "raw_formation_energy_ev_per_atom": -1.126, "crystal_system": "trigonal", "space_group": "R-3m, No. 166"}



No. 4
{"formula": "HoTmSbSe", "functional": "PBE", "state": "optimized geometry", "cell": [[4.215, 0.000, 0.000], [0.000, 4.215, 0.000], [0.000, 0.000, 5.942]], "species": ["Ho", "Tm", "Sb", "Se"], "fractional_positions": [[0.000, 0.000, 0.000], [0.500, 0.500, 0.499], [0.500, 0.500, 0.999], [0.000, 0.000, 0.500]], "vol_a3_per_atom": 26.4, "raw_formation_energy_ev_per_atom": -1.380, "crystal_system": "tetragonal", "space_group": "P4mm, No. 99"}



No. 5
{"formula": "YHoSbSe", "functional": "PBE", "state": "optimized geometry", "cell": [[4.240, 0.000, 0.000], [0.000, 4.240, 0.000], [0.000, 0.000, 5.995]], "species": ["Y", "Ho", "Sb", "Se"], "fractional_positions": [[0.000, 0.000, 0.000], [0.500, 0.500, 0.499], [0.500, 0.500, 0.999], [0.000, 0.000, 0.500]], "vol_a3_per_atom": 26.9, "raw_formation_energy_ev_per_atom": -1.436, "crystal_system": "tetragonal", "space_group": "P4mm, No. 99"}



No. 6
{"formula": "Ho5Si2Sb", "functional": "PBE", "state": "optimized geometry", "cell": [[-3.876, 3.876, 6.691], [3.876, -3.876, 6.691], [3.876, 3.876, -6.691]], "species": ["Ho", "Ho", "Ho", "Ho", "Ho", "Ho", "Ho", "Ho", "Ho", "Ho", "Si", "Si", "Si", "Si", "Sb", "Sb"], "fractional_positions": [[0.000, 0.000, 0.000], [0.017, 0.517, 0.815], [0.202, 0.017, 0.500], [0.298, 0.798, 0.815], [0.483, 0.298, 0.500], [0.500, 0.500, 0.000], [0.517, 0.702, 0.500], [0.702, 0.202, 0.185], [0.798, 0.983, 0.500], [0.983, 0.483, 0.185], [0.143, 0.357, 0.500], [0.357, 0.857, 0.214], [0.643, 0.143, 0.786], [0.857, 0.643, 0.500], [0.250, 0.250, 0.000], [0.750, 0.750, 0.000]], "vol_a3_per_atom": 25.1, "raw_formation_energy_ev_per_atom": -0.739, "crystal_system": "tetragonal", "space_group": "I4/mcm, No. 140"}



No. 7
{"formula": "Ho3SiSb", "functional": "PBE", "state": "optimized geometry", "cell": [[7.237, 0.000, 0.000], [3.603, 6.278, 0.000], [3.607, 2.096, 6.731]], "species": ["Ho", "Ho", "Ho", "Ho", "Ho", "Ho", "Si", "Si", "Sb", "Sb"], "fractional_positions": [[0.025, 0.307, 0.258], [0.193, 0.090, 0.742], [0.411, 0.524, 0.258], [0.589, 0.476, 0.742], [0.807, 0.910, 0.258], [0.975, 0.693, 0.742], [0.168, 0.668, 0.998], [0.832, 0.332, 0.002], [0.360, 0.861, 0.419], [0.640, 0.139, 0.581]], "vol_a3_per_atom": 30.6, "raw_formation_energy_ev_per_atom": -0.570, "crystal_system": "triclinic", "space_group": "P-1, No. 2"}



No. 8
{"formula": "Ho8SiSb2", "functional": "PBE", "state": "optimized geometry", "cell": [[9.030, -2.106, 0.000], [9.030, 2.106, 0.000], [-0.599, 0.000, 8.359]], "species": ["Ho", "Ho", "Ho", "Ho", "Ho", "Ho", "Ho", "Ho", "Si", "Sb", "Sb"], "fractional_positions": [[0.010, 0.010, 0.226], [0.208, 0.208, 0.363], [0.343, 0.343, 0.973], [0.407, 0.407, 0.457], [0.593, 0.593, 0.543], [0.657, 0.657, 0.027], [0.792, 0.792, 0.637], [0.990, 0.990, 0.774], [0.500, 0.500, 0.000], [0.180, 0.180, 0.764], [0.820, 0.820, 0.236]], "vol_a3_per_atom": 28.9, "raw_formation_energy_ev_per_atom": -0.477, "crystal_system": "monoclinic", "space_group": "C2/m, No. 12"}



No. 9
{"formula": "Ho6Si2Sb", "functional": "PBE", "state": "optimized geometry", "cell": [[-4.720, 4.750, 5.133], [4.720, -4.750, 5.133], [4.720, 4.750, -5.133]], "species": ["Ho", "Ho", "Ho", "Ho", "Ho", "Ho", "Ho", "Ho", "Ho", "Ho", "Ho", "Ho", "Si", "Si", "Si", "Si", "Sb", "Sb"], "fractional_positions": [[0.038, 0.244, 0.793], [0.186, 0.277, 0.463], [0.186, 0.723, 0.909], [0.321, 0.025, 0.703], [0.321, 0.618, 0.297], [0.451, 0.244, 0.207], [0.549, 0.756, 0.793], [0.679, 0.382, 0.703], [0.679, 0.975, 0.297], [0.814, 0.277, 0.091], [0.814, 0.723, 0.537], [0.962, 0.756, 0.207], [0.116, 0.616, 0.500], [0.370, 0.000, 0.370], [0.630, 0.000, 0.630], [0.884, 0.384, 0.500], [0.000, 0.000, 0.000], [0.500, 0.500, 0.000]], "vol_a3_per_atom": 25.6, "raw_formation_energy_ev_per_atom": -0.629, "crystal_system": "orthorhombic", "space_group": "Immm, No. 71"}



No. 10
{"formula": "HoSiSb", "functional": "PBE", "state": "optimized geometry", "cell": [[6.783, 0.000, 0.000], [-3.392, 5.874, 0.000], [0.000, 0.000, 11.744]], "species": ["Ho", "Ho", "Ho", "Ho", "Ho", "Ho", "Si", "Si", "Si", "Si", "Si", "Si", "Sb", "Sb", "Sb", "Sb", "Sb", "Sb"], "fractional_positions": [[0.000, 0.500, 0.398], [0.000, 0.500, 0.936], [0.500, 0.000, 0.269], [0.500, 0.000, 0.731], [0.500, 0.500, 0.064], [0.500, 0.500, 0.602], [0.190, 0.595, 0.167], [0.405, 0.595, 0.833], [0.405, 0.810, 0.500], [0.595, 0.190, 0.500], [0.595, 0.405, 0.833], [0.810, 0.405, 0.167], [0.000, 0.000, 0.167], [0.000, 0.000, 0.500], [0.000, 0.000, 0.833], [0.000, 0.500, 0.667], [0.500, 0.000, 0.000], [0.500, 0.500, 0.333]], "vol_a3_per_atom": 26.0, "raw_formation_energy_ev_per_atom": -0.191, "crystal_system": "hexagonal", "space_group": "P6_222, No. 180"}



No. 11
{"formula": "Ho8Si3SbTe4", "functional": "PBE", "state": "optimized geometry", "cell": [[4.248, 2.453, 7.071], [-4.248, 2.453, 7.071], [0.000, -4.906, 7.071]], "species": ["Ho", "Ho", "Ho", "Ho", "Ho", "Ho", "Ho", "Ho", "Si", "Si", "Si", "Sb", "Te", "Te", "Te", "Te"], "fractional_positions": [[0.228, 0.747, 0.747], [0.239, 0.239, 0.239], [0.253, 0.253, 0.772], [0.253, 0.772, 0.253], [0.747, 0.228, 0.747], [0.747, 0.747, 0.228], [0.761, 0.761, 0.761], [0.772, 0.253, 0.253], [0.000, 0.000, 0.500], [0.000, 0.500, 0.000], [0.500, 0.000, 0.000], [0.500, 0.500, 0.500], [0.000, 0.000, 0.000], [0.000, 0.500, 0.500], [0.500, 0.000, 0.500], [0.500, 0.500, 0.000]], "vol_a3_per_atom": 27.6, "raw_formation_energy_ev_per_atom": -1.134, "crystal_system": "trigonal", "space_group": "R-3m, No. 166"}



No. 12
{"formula": "SmHo4Sb5", "functional": "PBE", "state": "optimized geometry", "cell": [[-2.195, 3.103, 10.966], [2.195, -3.103, 10.966], [2.195, 3.103, -10.966]], "species": ["Sm", "Ho", "Ho", "Ho", "Ho", "Sb", "Sb", "Sb", "Sb", "Sb"], "fractional_positions": [[0.000, 0.000, 0.000], [0.201, 0.201, 0.000], [0.400, 0.400, 0.000], [0.600, 0.600, 0.000], [0.799, 0.799, 0.000], [0.103, 0.603, 0.500], [0.300, 0.800, 0.500], [0.500, 0.000, 0.500], [0.700, 0.200, 0.500], [0.897, 0.397, 0.500]], "vol_a3_per_atom": 29.9, "raw_formation_energy_ev_per_atom": -1.125, "crystal_system": "orthorhombic", "space_group": "Immm, No. 71"}



No. 13
{"formula": "Sm8HoSb6", "functional": "PBE", "state": "optimized geometry", "cell": [[4.050, 2.338, 8.535], [-4.050, 2.338, 8.535], [0.000, -4.676, 8.535]], "species": ["Sm", "Sm", "Sm", "Sm", "Sm", "Sm", "Sm", "Sm", "Ho", "Sb", "Sb", "Sb", "Sb", "Sb", "Sb"], "fractional_positions": [[0.040, 0.380, 0.715], [0.167, 0.167, 0.167], [0.285, 0.960, 0.620], [0.380, 0.715, 0.040], [0.620, 0.285, 0.960], [0.715, 0.040, 0.380], [0.833, 0.833, 0.833], [0.960, 0.620, 0.285], [0.500, 0.500, 0.500], [0.106, 0.762, 0.433], [0.238, 0.567, 0.894], [0.433, 0.106, 0.762], [0.567, 0.894, 0.238], [0.762, 0.433, 0.106], [0.894, 0.238, 0.567]], "vol_a3_per_atom": 32.3, "raw_formation_energy_ev_per_atom": -0.796, "crystal_system": "trigonal", "space_group": "R-3, No. 148"}



No. 14
{"formula": "SmHoSb2", "functional": "PBE", "state": "optimized geometry", "cell": [[2.211, 1.276, 7.212], [-2.211, 1.276, 7.212], [0.000, -2.553, 7.212]], "species": ["Sm", "Ho", "Sb", "Sb"], "fractional_positions": [[0.000, 0.000, 0.000], [0.500, 0.500, 0.500], [0.248, 0.248, 0.248], [0.752, 0.752, 0.752]], "vol_a3_per_atom": 30.5, "raw_formation_energy_ev_per_atom": -1.144, "crystal_system": "trigonal", "space_group": "R-3m, No. 166"}



No. 15
{"formula": "SmHo5Sb4", "functional": "PBE", "state": "optimized geometry", "cell": [[9.333, -2.158, 0.000], [9.333, 2.158, 0.000], [-2.364, 0.000, 8.096]], "species": ["Sm", "Ho", "Ho", "Ho", "Ho", "Ho", "Sb", "Sb", "Sb", "Sb"], "fractional_positions": [[0.000, 0.000, 0.000], [0.000, 0.000, 0.500], [0.321, 0.321, 0.650], [0.339, 0.339, 0.177], [0.661, 0.661, 0.823], [0.679, 0.679, 0.350], [0.172, 0.172, 0.089], [0.490, 0.490, 0.736], [0.510, 0.510, 0.264], [0.828, 0.828, 0.911]], "vol_a3_per_atom": 32.6, "raw_formation_energy_ev_per_atom": -0.711, "crystal_system": "monoclinic", "space_group": "C2/m, No. 12"}



No. 16
{"formula": "Sm2Ho2Sb3", "functional": "PBE", "state": "optimized geometry", "cell": [[4.349, 0.000, 0.000], [2.169, 7.109, 0.000], [0.001, 1.131, 7.399]], "species": ["Sm", "Sm", "Ho", "Ho", "Sb", "Sb", "Sb"], "fractional_positions": [[0.121, 0.259, 0.384], [0.879, 0.741, 0.616], [0.375, 0.750, 0.125], [0.625, 0.250, 0.875], [0.000, 0.500, 0.000], [0.253, 0.993, 0.752], [0.747, 0.007, 0.248]], "vol_a3_per_atom": 32.7, "raw_formation_energy_ev_per_atom": -0.863, "crystal_system": "triclinic", "space_group": "P-1, No. 2"}



No. 17
{"formula": "Sm2Ho2Sb3", "functional": "PBE", "state": "optimized geometry", "cell": [[-4.637, 4.637, 4.637], [4.637, -4.637, 4.637], [4.637, 4.637, -4.637]], "species": ["Sm", "Sm", "Sm", "Sm", "Ho", "Ho", "Ho", "Ho", "Sb", "Sb", "Sb", "Sb", "Sb", "Sb"], "fractional_positions": [[0.000, 0.352, 0.500], [0.148, 0.148, 0.148], [0.352, 0.500, 0.000], [0.500, 0.000, 0.352], [0.000, 0.860, 0.500], [0.500, 0.000, 0.860], [0.640, 0.640, 0.640], [0.860, 0.500, 0.000], [0.120, 0.750, 0.870], [0.250, 0.630, 0.380], [0.380, 0.250, 0.630], [0.630, 0.380, 0.250], [0.750, 0.870, 0.120], [0.870, 0.120, 0.750]], "vol_a3_per_atom": 28.5, "raw_formation_energy_ev_per_atom": -1.003, "crystal_system": "cubic", "space_group": "I2_13, No. 199"}



No. 18
{"formula": "SmHo5Sb6", "functional": "PBE", "state": "optimized geometry", "cell": [[3.799, -6.580, 0.000], [3.799, 6.580, 0.000], [-2.535, 0.000, 7.161]], "species": ["Sm", "Ho", "Ho", "Ho", "Ho", "Ho", "Sb", "Sb", "Sb", "Sb", "Sb", "Sb"], "fractional_positions": [[0.000, 0.000, 0.000], [0.165, 0.835, 0.500], [0.333, 0.667, 0.000], [0.500, 0.500, 0.500], [0.667, 0.333, 0.000], [0.835, 0.165, 0.500], [0.084, 0.421, 0.253], [0.254, 0.254, 0.749], [0.421, 0.084, 0.253], [0.579, 0.916, 0.747], [0.746, 0.746, 0.251], [0.916, 0.579, 0.747]], "vol_a3_per_atom": 29.8, "raw_formation_energy_ev_per_atom": -1.122, "crystal_system": "monoclinic", "space_group": "C2/m, No. 12"}



No. 19
{"formula": "Sm2Ho3Sb2", "functional": "PBE", "state": "optimized geometry", "cell": [[6.070, -2.141, 0.000], [6.070, 2.141, 0.000], [-2.885, 0.000, 8.089]], "species": ["Sm", "Sm", "Ho", "Ho", "Ho", "Sb", "Sb"], "fractional_positions": [[0.134, 0.134, 0.290], [0.866, 0.866, 0.710], [0.374, 0.374, 0.053], [0.500, 0.500, 0.500], [0.626, 0.626, 0.947], [0.170, 0.170, 0.699], [0.830, 0.830, 0.301]], "vol_a3_per_atom": 30.0, "raw_formation_energy_ev_per_atom": -0.646, "crystal_system": "monoclinic", "space_group": "C2/m, No. 12"}



No. 20
{"formula": "SmHo3Sb2", "functional": "PBE", "state": "optimized geometry", "cell": [[9.138, -2.159, 0.000], [9.138, 2.159, 0.000], [-3.910, 0.000, 8.877]], "species": ["Sm", "Sm", "Ho", "Ho", "Ho", "Ho", "Ho", "Ho", "Sb", "Sb", "Sb", "Sb"], "fractional_positions": [[0.111, 0.111, 0.119], [0.889, 0.889, 0.881], [0.057, 0.057, 0.675], [0.312, 0.312, 0.109], [0.357, 0.357, 0.524], [0.643, 0.643, 0.476], [0.688, 0.688, 0.891], [0.943, 0.943, 0.325], [0.247, 0.247, 0.716], [0.489, 0.489, 0.155], [0.511, 0.511, 0.845], [0.753, 0.753, 0.284]], "vol_a3_per_atom": 29.2, "raw_formation_energy_ev_per_atom": -0.686, "crystal_system": "monoclinic", "space_group": "C2/m, No. 12"}



No. 21
{"formula": "Sm2Ho5Sb4", "functional": "PBE", "state": "optimized geometry", "cell": [[12.323, -1.714, 0.000], [12.323, 1.714, 0.000], [-0.450, 0.000, 7.981]], "species": ["Sm", "Sm", "Ho", "Ho", "Ho", "Ho", "Ho", "Sb", "Sb", "Sb", "Sb"], "fractional_positions": [[0.053, 0.053, 0.156], [0.947, 0.947, 0.844], [0.154, 0.154, 0.476], [0.179, 0.179, 0.992], [0.500, 0.500, 0.500], [0.821, 0.821, 0.008], [0.846, 0.846, 0.524], [0.072, 0.072, 0.766], [0.266, 0.266, 0.280], [0.734, 0.734, 0.720], [0.928, 0.928, 0.234]], "vol_a3_per_atom": 30.7, "raw_formation_energy_ev_per_atom": -0.393, "crystal_system": "monoclinic", "space_group": "C2/m, No. 12"}